First-principles (meta-GGA SCAN) data for a crystal of Cs2InHgBr6 relaxed with PBEsol, as listed in Alexandria.

**Raw total energy**: -30.652 eV/atom
**Energy relative to the elements, uncorrected**: -29.035 kcal/mol of atoms

abc: 7.8743 7.8743 7.8743
angles: 60.00 60.00 60.00
Atoms (fractional coordinates):
Cs 0.2500 0.2500 0.2500
Cs 0.7500 0.7500 0.7500
In 0.0000 0.0000 0.0000
Hg 0.5000 0.5000 0.5000
Br 0.2440 0.2440 0.7560
Br 0.2440 0.7560 0.2440
Br 0.2440 0.7560 0.7560
Br 0.7560 0.2440 0.2440
Br 0.7560 0.2440 0.7560
Br 0.7560 0.7560 0.2440